Material: AlSiOs4
Method: DFT, PBE-GGA
State: optimized geometry

abc: 5.145 5.145 5.145
angles: 60.00 60.00 60.00
Atoms (fractional coordinates):
Al 0.000 0.000 0.000
Si 0.250 0.250 0.250
Os 0.625 0.625 0.125
Os 0.625 0.125 0.625
Os 0.625 0.625 0.625
Os 0.125 0.625 0.625

Calculated values
Total energy ... -8.269 eV/atom
Space group ... F-43m (216)
ΔE_f (raw) ... 4.5 eV/f.u.
Total magnetic moment ... 0.00 μB/cell